No. 1
The following is a PBE calculation of crystalline KNiAu3C6N6 at its relaxed geometry, from Alexandria via LeMat-Bulk.

a = 7.045 Å, b = 7.045 Å, c = 7.566 Å
α = 90.00°, β = 90.00°, γ = 120.00°
Fractional positions:
K: 0.000 0.000 0.000
Ni: 0.333 0.667 0.000
Au: 0.346 0.173 0.500
Au: 0.827 0.173 0.500
Au: 0.827 0.654 0.500
C: 0.341 0.005 0.286
C: 0.341 0.336 0.714
C: 0.664 0.005 0.714
C: 0.664 0.659 0.286
C: 0.995 0.336 0.286
C: 0.995 0.659 0.714
N: 0.100 0.433 0.163
N: 0.100 0.667 0.837
N: 0.333 0.433 0.837
N: 0.333 0.900 0.163
N: 0.567 0.667 0.163
N: 0.567 0.900 0.837

Computed properties:
The value obtained for the energy is -6.955 eV/atom. Its crystal system is trigonal. As for the symmetry: P312. Its magnetic moment is 1.9 μB/cell.

No. 2
The following is a PBE calculation of crystalline Cs5K2Hg2 at its relaxed geometry, from Alexandria via LeMat-Bulk.

a = 10.873 Å, b = 10.873 Å, c = 10.528 Å
α = 98.32°, β = 98.32°, γ = 32.20°
Fractional positions:
Cs: 0.000 0.000 0.000
Cs: 0.191 0.191 0.616
Cs: 0.334 0.334 0.033
Cs: 0.666 0.666 0.967
Cs: 0.809 0.809 0.384
K: 0.432 0.432 0.659
K: 0.568 0.568 0.341
Hg: 0.176 0.176 0.229
Hg: 0.824 0.824 0.771

Computed properties:
The value obtained for the energy is -0.880 eV/atom. Its crystal system is monoclinic. As for the symmetry: C2/m. Its magnetic moment is 0.0 μB/cell.

No. 3
The following is a PBE calculation of crystalline LaPm5Tl2In at its relaxed geometry, from Alexandria via LeMat-Bulk.

a = 10.912 Å, b = 10.912 Å, c = 10.912 Å
α = 136.91°, β = 136.91°, γ = 62.58°
Fractional positions:
La: 0.250 0.250 0.000
La: 0.750 0.750 0.000
Pm: 0.000 0.000 0.000
Pm: 0.063 0.563 0.878
Pm: 0.185 0.063 0.500
Pm: 0.315 0.815 0.878
Pm: 0.437 0.315 0.500
Pm: 0.500 0.500 0.000
Pm: 0.563 0.685 0.500
Pm: 0.685 0.185 0.122
Pm: 0.815 0.937 0.500
Pm: 0.937 0.437 0.122
Tl: 0.125 0.375 0.500
Tl: 0.375 0.875 0.251
Tl: 0.625 0.125 0.749
Tl: 0.875 0.625 0.500
In: 0.250 0.750 0.500
In: 0.750 0.250 0.500

Computed properties:
The value obtained for the energy is -4.157 eV/atom. Its crystal system is tetragonal. As for the symmetry: I4/mcm. Its magnetic moment is 0.0 μB/cell.

No. 4
The following is a PBE calculation of crystalline LiLa2P3Pd4 at its relaxed geometry, from Alexandria via LeMat-Bulk.

a = 4.246 Å, b = 4.246 Å, c = 9.937 Å
α = 90.00°, β = 90.00°, γ = 90.00°
Fractional positions:
Li: 0.000 0.000 0.000
La: 0.000 0.500 0.744
La: 0.500 0.000 0.256
P: 0.000 0.500 0.362
P: 0.500 0.000 0.638
P: 0.500 0.500 0.000
Pd: 0.000 0.000 0.500
Pd: 0.000 0.500 0.121
Pd: 0.500 0.000 0.879
Pd: 0.500 0.500 0.500

Computed properties:
The value obtained for the energy is -5.877 eV/atom. Its crystal system is tetragonal. As for the symmetry: P-4m2. Its magnetic moment is 0.0 μB/cell.